Entry 1:
## LaTl2Re (PBE)

Data for an optimized crystal structure of LaTl2Re.

Properties
The formation energy is 0.6743 eV per atom. The total magnetization is 0.00 μB per formula unit. The total energy is -4.85 eV per atom. The space group is C2/m, No. 12. The density of states at the Fermi level comes out at 4.0 states/eV per cell.

Cell lengths 6.1322, 6.1322, 3.1436 Å; angles 81.62, 81.62, 120.97 degrees
With the nearest neighbours (Å) after each atom.
Fractional positions:
Tl1 0.0000 0.0000 0.0000  4 Tl 3.02-3.14, 2 Re 3.24, 2 La 3.24
La1 0.5000 0.0000 0.5000  2 Re 3.02, 2 La 3.14, 4 Tl 3.24
Re1 0.0000 0.5000 0.5000  2 La 3.02, 2 Re 3.14, 4 Tl 3.24
Tl2 0.5000 0.5000 0.0000  4 Tl 3.02-3.14, 2 La 3.24, 2 Re 3.24

---

Entry 2:
## La2TlRe (PBE)

Data for an optimized crystal structure of La2TlRe.

Properties
The formation energy is 0.1806 eV per atom. The total magnetization is 0.00 μB per formula unit. The total energy is -5.99 eV per atom. The space group is Imm2, No. 44. The density of states at the Fermi level comes out at 2.9 states/eV per cell.

Cell lengths 6.7328, 6.7328, 6.7328 Å; angles 149.22, 135.14, 55.39 degrees
With the nearest neighbours (Å) after each atom.
Fractional positions:
Tl1 0.3061 0.8061 0.5000  2 Re 2.88
La1 0.6959 0.1959 0.5000  2 Re 2.98
La2 0.0024 0.0024 0.0000  4 Re 3.13, 2 La 3.45, 2 Tl 3.48
Re1 0.4956 0.4956 0.0000  2 Tl 2.88, 6 La 2.98-3.13

---

Entry 3:
## LaTl2Re (PBE)

Data for an optimized crystal structure of LaTl2Re.

Properties
The formation energy is 0.6249 eV per atom. The total magnetization is 1.63 μB per formula unit. The total energy is -4.90 eV per atom. The space group is I-4m2, No. 119. The density of states at the Fermi level comes out at 4.6 states/eV per cell.

Cell lengths 5.6941, 5.6941, 5.6941 Å; angles 132.00, 132.00, 70.22 degrees
With the nearest neighbours (Å) after each atom.
Fractional positions:
Tl1 0.0000 0.0000 0.0000  4 La 3.28, 4 Tl 3.28, 4 Re 3.28
La1 0.5000 0.5000 0.0000  8 Tl 3.28, 4 Re 3.28
Tl2 0.2500 0.7500 0.5000  4 Re 3.28, 4 La 3.28, 4 Tl 3.28
Re1 0.7500 0.2500 0.5000  8 Tl 3.28, 4 La 3.28

---

Entry 4:
## La2TlRe (PBE)

Data for an optimized crystal structure of La2TlRe.

Properties
The formation energy is 0.5267 eV per atom. The total magnetization is 0.00 μB per formula unit. The total energy is -5.64 eV per atom. The space group is Cmm2, No. 35. The density of states at the Fermi level comes out at 4.5 states/eV per cell.

Cell lengths 3.2940, 3.2940, 10.7860 Å; angles 90.00, 90.00, 114.53 degrees
With the nearest neighbours (Å) after each atom.
Fractional positions:
Tl1 0.5000 0.5000 0.7121  2 Re 2.86
La1 0.5000 0.5000 0.3055  2 Re 2.79
Re1 0.0000 0.0000 0.5047  2 La 2.79, 2 Tl 2.86
La2 0.0000 0.0000 0.9776  6 La 3.29-3.56, 2 Tl 3.37

---

Going through the records in order, we get V values of 24.20 27.36 24.98 26.62 Å³ per atom.